Record 1
A plane-wave DFT calculation with PBE was carried out for crystalline Tb2Nd2YTm4 at its relaxed geometry.

Summary:
**N(E_F)**: 1.4129 states/eV/atom
**DFT total energy**: -4.795 eV per atom
**Magnetization**: 0.000 μB per formula unit

Lattice parameters (Å, degrees): 9.4825 9.4825 9.5383 115.28 115.28 21.81
With the nearest neighbours (Å) after each atom.
Sites, in units of the cell vectors:
Tb: 0.1470 0.1470 0.1622  7 Tm 3.47-3.60, 3 Nd 3.57-3.58, 2 Tb 3.59
Tb: 0.8530 0.8530 0.8378  7 Tm 3.47-3.60, 3 Nd 3.57-3.58, 2 Tb 3.59
Nd: 0.3342 0.3342 0.4993  3 Tm 3.55-3.56, 2 Y 3.57, 3 Tb 3.57-3.58, 4 Nd 3.59-3.62
Nd: 0.6658 0.6658 0.5007  3 Tm 3.55-3.56, 2 Y 3.57, 3 Tb 3.57-3.58, 4 Nd 3.59-3.62
Y: 0.0000 0.0000 0.5000  6 Tm 3.55, 4 Nd 3.57, 2 Y 3.59
Tm: 0.1854 0.1854 0.8374  3 Tb 3.47-3.60, 6 Tm 3.48-3.59, 1 Y 3.55, 2 Nd 3.56
Tm: 0.4803 0.4803 0.1640  4 Tb 3.48-3.59, 5 Tm 3.51-3.59, 2 Y 3.55, 1 Nd 3.55
Tm: 0.5197 0.5197 0.8360  4 Tb 3.48-3.59, 5 Tm 3.51-3.59, 2 Y 3.55, 1 Nd 3.55
Tm: 0.8146 0.8146 0.1626  3 Tb 3.47-3.60, 6 Tm 3.48-3.59, 1 Y 3.55, 2 Nd 3.56

=====

Record 2
A plane-wave DFT calculation with PBE was carried out for crystalline TbNdY5Tm2 at its relaxed geometry.

Summary:
**N(E_F)**: 1.7686 states/eV/atom
**DFT total energy**: -5.467 eV per atom
**Magnetization**: 0.001 μB per formula unit

Lattice parameters (Å, degrees): 10.3932 10.3932 10.5027 90.00 90.00 148.63
With the nearest neighbours (Å) after each atom.
Sites, in units of the cell vectors:
Tb: 0.1967 0.8033 0.5000  2 Tm 3.39-3.61, 7 Y 3.47-3.77, 2 Nd 3.66
Tb: 0.8033 0.1967 0.0000  2 Tm 3.39-3.61, 7 Y 3.47-3.77, 2 Nd 3.66
Nd: 0.4149 0.5851 0.9325  5 Y 3.04-3.29
Nd: 0.5851 0.4149 0.4325  5 Y 3.04-3.29
Y: 0.0167 0.9833 0.5083  2 Nd 3.23, 3 Tm 3.36-3.56, 2 Y 3.60, 1 Tb 3.60
Y: 0.2785 0.7215 0.8045  1 Nd 3.04, 1 Tm 3.32
Y: 0.2987 0.7013 0.1934  4 Y 3.41-3.74, 3 Tb 3.47-3.81, 3 Tm 3.52-3.75, 1 Nd 3.59
Y: 0.3850 0.6150 0.5097  6 Y 3.53-3.85, 4 Tm 3.54-3.58, 1 Tb 3.77
Y: 0.4779 0.5221 0.2218  2 Nd 3.08-3.29
Y: 0.5221 0.4779 0.7218  2 Nd 3.08-3.29
Y: 0.6150 0.3850 0.0097  6 Y 3.53-3.85, 4 Tm 3.54-3.58, 1 Tb 3.77
Y: 0.7013 0.2987 0.6934  4 Y 3.41-3.74, 3 Tb 3.47-3.81, 3 Tm 3.52-3.75, 1 Nd 3.59
Y: 0.7215 0.2785 0.3045  1 Nd 3.04, 1 Tm 3.32
Y: 0.9833 0.0167 0.0083  2 Nd 3.23, 3 Tm 3.36-3.56, 2 Y 3.60, 1 Tb 3.60
Tm: 0.1116 0.8884 0.2211  1 Tb 3.39, 7 Y 3.40-3.75, 2 Nd 3.62
Tm: 0.1127 0.8873 0.8040  9 Y 3.32-3.65, 1 Tb 3.61
Tm: 0.8873 0.1127 0.3040  9 Y 3.32-3.65, 1 Tb 3.61
Tm: 0.8884 0.1116 0.7211  1 Tb 3.39, 7 Y 3.40-3.75, 2 Nd 3.62

=====

Record 3
A plane-wave DFT calculation with PBE was carried out for crystalline TbNd2Y2Tm at its relaxed geometry.

Summary:
**N(E_F)**: 1.9344 states/eV/atom
**DFT total energy**: -5.193 eV per atom
**Magnetization**: 0.000 μB per formula unit

Lattice parameters (Å, degrees): 7.0838 9.8062 5.6582 90.00 90.00 90.00
With the nearest neighbours (Å) after each atom.
Sites, in units of the cell vectors:
Tb: 0.0000 0.0000 0.0000  2 Tm 3.54, 6 Y 3.71-3.72, 6 Nd 3.72
Tb: 0.5000 0.5000 0.5000  2 Tm 3.54, 6 Y 3.71-3.72, 6 Nd 3.72
Nd: 0.2485 0.3340 0.0000  5 Y 3.27-3.55
Nd: 0.2515 0.8340 0.5000  5 Y 3.27-3.55
Nd: 0.7485 0.1660 0.5000  5 Y 3.27-3.55
Nd: 0.7515 0.6660 0.0000  5 Y 3.27-3.55
Y: 0.2498 0.1675 0.5000  5 Nd 3.27-3.55
Y: 0.2502 0.6675 0.0000  5 Nd 3.27-3.55
Y: 0.7498 0.3325 0.0000  5 Nd 3.27-3.55
Y: 0.7502 0.8325 0.5000  5 Nd 3.27-3.55
Tm: 0.0000 0.5000 0.5000  2 Tb 3.54, 6 Nd 3.71-3.73, 6 Y 3.71-3.72
Tm: 0.5000 0.0000 0.0000  2 Tb 3.54, 6 Nd 3.71-3.73, 6 Y 3.71-3.72

=====

Question: Look up the DFT total energy of the third one.
Answer: -5.193 eV per atom

=====

Question: The lowest N(E_F) belongs to which entry?
Answer: Tb2Nd2YTm4

=====

Question: Which of these has the highest N(E_F)?
Answer: TbNd2Y2Tm